Density functional theory data (GGA-PBE) for Na6ErTl12 after structural relaxation.

Cell lengths 8.3193, 8.3193, 8.3193 Å; angles 94.63, 94.63, 94.63 degrees
Closest atoms and distances in Å follow each position.
Positions (direct):
Tl (0.0396, 0.1369, 0.3650)  2 Tl 3.11-3.39, 1 Er 3.14, 2 Na 3.36-3.38
Tl (0.4596, 0.7889, 0.5427)  3 Tl 3.11-3.31, 3 Na 3.28-3.42
Tl (0.8631, 0.6350, 0.9604)  2 Tl 3.11-3.39, 1 Er 3.14, 2 Na 3.36-3.38
Tl (0.3650, 0.0396, 0.1369)  2 Tl 3.11-3.39, 1 Er 3.14, 2 Na 3.36-3.38
Tl (0.5427, 0.4596, 0.7889)  3 Tl 3.11-3.31, 3 Na 3.28-3.42
Tl (0.9604, 0.8631, 0.6350)  2 Tl 3.11-3.39, 1 Er 3.14, 2 Na 3.36-3.38
Tl (0.5404, 0.2111, 0.4573)  3 Tl 3.11-3.31, 3 Na 3.28-3.42
Tl (0.7889, 0.5427, 0.4596)  3 Tl 3.11-3.31, 3 Na 3.28-3.42
Tl (0.2111, 0.4573, 0.5404)  3 Tl 3.11-3.31, 3 Na 3.28-3.42
Tl (0.4573, 0.5404, 0.2111)  3 Tl 3.11-3.31, 3 Na 3.28-3.42
Tl (0.6350, 0.9604, 0.8631)  2 Tl 3.11-3.39, 1 Er 3.14, 2 Na 3.36-3.38
Tl (0.1369, 0.3650, 0.0396)  2 Tl 3.11-3.39, 1 Er 3.14, 2 Na 3.36-3.38
Na (0.7311, 0.2933, 0.1201)  9 Tl 3.28-3.58, 1 Er 3.58
Na (0.7067, 0.8799, 0.2689)  9 Tl 3.28-3.58, 1 Er 3.58
Na (0.2933, 0.1201, 0.7311)  9 Tl 3.28-3.58, 1 Er 3.58
Na (0.8799, 0.2689, 0.7067)  9 Tl 3.28-3.58, 1 Er 3.58
Na (0.1201, 0.7311, 0.2933)  9 Tl 3.28-3.58, 1 Er 3.58
Na (0.2689, 0.7067, 0.8799)  9 Tl 3.28-3.58, 1 Er 3.58
Er (0.0000, 0.0000, 0.0000)  6 Tl 3.14

Results
ΔE_f: -45.8 meV per atom
space group: R-3